Compound: TbPmErCu
Source: the Alexandria database
Functional: PBE
Structure: optimized geometry

Unit cell a=3.5117 b=3.5117 c=8.6835 alpha=90.00 beta=90.00 gamma=90.00
Last column: nearest neighbours and their distance in Å.
Element x y z (fractional)
Tb  0.0000  0.0000  0.0000  4 Cu 3.03, 1 Er 3.36
Pm  0.5000  0.5000  0.3089  4 Pm 3.51, 4 Er 3.63, 4 Tb 3.66
Er  0.0000  0.0000  0.6136  4 Cu 2.96
Cu  0.5000  0.5000  0.7996  4 Er 2.96, 4 Tb 3.03

DOS at the Fermi energy (states/eV per cell): 4.0
Calculated volume (Å³/atom): 26.77
Total DFT energy (no corrections) (eV for the cell shown): -18.46
Energy of formation (eV/atom): -0.10
Size of the total moment (μB/f.u.): 0.00